(1)
Material: TlAu124
Method: DFT, PBE
State: optimized geometry

```
TlAu124
1.0
0.000 10.361 10.361
10.361 0.000 10.361
10.361 10.361 0.000
Tl Au
1 124
direct
0.000 0.000 0.000 Tl
0.000 0.000 0.203 Au
0.000 0.000 0.401 Au
0.000 0.000 0.599 Au
0.000 0.000 0.797 Au
0.000 0.200 0.400 Au
0.000 0.201 0.201 Au
0.000 0.201 0.599 Au
0.000 0.203 0.000 Au
0.000 0.203 0.797 Au
0.000 0.400 0.200 Au
0.000 0.400 0.400 Au
0.000 0.401 0.000 Au
0.000 0.401 0.599 Au
0.000 0.401 0.799 Au
0.000 0.599 0.000 Au
0.000 0.599 0.201 Au
0.000 0.599 0.401 Au
0.000 0.600 0.600 Au
0.000 0.600 0.800 Au
0.000 0.797 0.000 Au
0.000 0.797 0.203 Au
0.000 0.799 0.401 Au
0.000 0.799 0.799 Au
0.000 0.800 0.600 Au
0.200 0.000 0.400 Au
0.200 0.200 0.200 Au
0.200 0.200 0.400 Au
0.200 0.200 0.800 Au
0.200 0.400 0.000 Au
0.200 0.400 0.200 Au
0.200 0.400 0.400 Au
0.200 0.400 0.600 Au
0.200 0.400 0.800 Au
0.200 0.600 0.400 Au
0.200 0.600 0.600 Au
0.200 0.600 0.800 Au
0.200 0.800 0.200 Au
0.200 0.800 0.400 Au
0.200 0.800 0.600 Au
0.200 0.800 0.800 Au
0.201 0.000 0.201 Au
0.201 0.000 0.599 Au
0.201 0.201 0.000 Au
0.201 0.201 0.599 Au
0.201 0.599 0.000 Au
0.201 0.599 0.201 Au
0.203 0.000 0.000 Au
0.203 0.000 0.797 Au
0.203 0.797 0.000 Au
0.400 0.000 0.200 Au
0.400 0.000 0.400 Au
0.400 0.200 0.000 Au
0.400 0.200 0.200 Au
0.400 0.200 0.400 Au
0.400 0.200 0.600 Au
0.400 0.200 0.800 Au
0.400 0.400 0.000 Au
0.400 0.400 0.200 Au
0.400 0.400 0.400 Au
0.400 0.400 0.600 Au
0.400 0.400 0.800 Au
0.400 0.600 0.200 Au
0.400 0.600 0.400 Au
0.400 0.600 0.600 Au
0.400 0.600 0.800 Au
0.400 0.800 0.200 Au
0.400 0.800 0.400 Au
0.400 0.800 0.600 Au
0.401 0.000 0.000 Au
0.401 0.000 0.599 Au
0.401 0.000 0.799 Au
0.401 0.599 0.000 Au
0.401 0.799 0.000 Au
0.401 0.799 0.799 Au
0.599 0.000 0.000 Au
0.599 0.000 0.201 Au
0.599 0.000 0.401 Au
0.599 0.201 0.000 Au
0.599 0.201 0.201 Au
0.599 0.401 0.000 Au
0.600 0.000 0.600 Au
0.600 0.000 0.800 Au
0.600 0.200 0.400 Au
0.600 0.200 0.600 Au
0.600 0.200 0.800 Au
0.600 0.400 0.200 Au
0.600 0.400 0.400 Au
0.600 0.400 0.600 Au
0.600 0.400 0.800 Au
0.600 0.600 0.000 Au
0.600 0.600 0.200 Au
0.600 0.600 0.400 Au
0.600 0.600 0.600 Au
0.600 0.600 0.800 Au
0.600 0.800 0.000 Au
0.600 0.800 0.200 Au
0.600 0.800 0.400 Au
0.600 0.800 0.600 Au
0.600 0.800 0.800 Au
0.797 0.000 0.000 Au
0.797 0.000 0.203 Au
0.797 0.203 0.000 Au
0.799 0.000 0.401 Au
0.799 0.000 0.799 Au
0.799 0.401 0.000 Au
0.799 0.401 0.799 Au
0.799 0.799 0.000 Au
0.799 0.799 0.401 Au
0.800 0.000 0.600 Au
0.800 0.200 0.200 Au
0.800 0.200 0.400 Au
0.800 0.200 0.600 Au
0.800 0.200 0.800 Au
0.800 0.400 0.200 Au
0.800 0.400 0.400 Au
0.800 0.400 0.600 Au
0.800 0.600 0.000 Au
0.800 0.600 0.200 Au
0.800 0.600 0.400 Au
0.800 0.600 0.600 Au
0.800 0.600 0.800 Au
0.800 0.800 0.200 Au
0.800 0.800 0.600 Au
0.800 0.800 0.800 Au
```

Output
As for the space group: Fm-3m (225). The value obtained for the raw total energy is -407.3 eV for the cell shown.

***

(2)
Material: Tl2Au17
Method: DFT, PBE
State: optimized geometry

```
Tl2Au17
1.0
9.681 0.000 0.000
-4.840 8.384 0.000
0.000 0.000 9.352
Tl Au
4 34
direct
0.000 0.000 0.250 Tl
0.000 0.000 0.750 Tl
0.333 0.667 0.250 Tl
0.667 0.333 0.750 Tl
0.000 0.500 0.000 Au
0.000 0.500 0.500 Au
0.029 0.355 0.750 Au
0.029 0.673 0.750 Au
0.165 0.330 0.021 Au
0.165 0.330 0.479 Au
0.165 0.835 0.021 Au
0.165 0.835 0.479 Au
0.327 0.355 0.750 Au
0.327 0.971 0.750 Au
0.330 0.165 0.521 Au
0.330 0.165 0.979 Au
0.333 0.667 0.600 Au
0.333 0.667 0.900 Au
0.355 0.029 0.250 Au
0.355 0.327 0.250 Au
0.500 0.000 0.000 Au
0.500 0.000 0.500 Au
0.500 0.500 0.000 Au
0.500 0.500 0.500 Au
0.645 0.673 0.750 Au
0.645 0.971 0.750 Au
0.667 0.333 0.100 Au
0.667 0.333 0.400 Au
0.670 0.835 0.021 Au
0.670 0.835 0.479 Au
0.673 0.029 0.250 Au
0.673 0.645 0.250 Au
0.835 0.165 0.521 Au
0.835 0.165 0.979 Au
0.835 0.670 0.521 Au
0.835 0.670 0.979 Au
0.971 0.327 0.250 Au
0.971 0.645 0.250 Au
```

Output
As for the space group: P6_3/mmc (194). The value obtained for the raw total energy is -119.3 eV for the cell shown.

***

(3)
Material: TlAu5
Method: DFT, PBE
State: optimized geometry

```
TlAu5
1.0
5.608 0.000 0.000
-2.804 4.857 0.000
0.000 0.000 4.690
Tl Au
1 5
direct
0.000 0.000 0.000 Tl
0.000 0.500 0.500 Au
0.333 0.667 0.000 Au
0.500 0.000 0.500 Au
0.500 0.500 0.500 Au
0.667 0.333 0.000 Au
```

Output
As for the space group: P6/mmm (191). The value obtained for the raw total energy is -18.7 eV for the cell shown.

***

(4)
Material: Tl3Au
Method: DFT, PBE
State: optimized geometry

```
Tl3Au
1.0
3.995 0.000 0.000
0.000 12.290 0.000
0.000 0.000 8.989
Tl Au
12 4
direct
0.000 0.058 0.250 Tl
0.000 0.367 0.057 Tl
0.000 0.367 0.443 Tl
0.000 0.633 0.557 Tl
0.000 0.633 0.943 Tl
0.000 0.942 0.750 Tl
0.500 0.133 0.557 Tl
0.500 0.133 0.943 Tl
0.500 0.442 0.750 Tl
0.500 0.558 0.250 Tl
0.500 0.867 0.057 Tl
0.500 0.867 0.443 Tl
0.000 0.255 0.750 Au
0.000 0.745 0.250 Au
0.500 0.245 0.250 Au
0.500 0.755 0.750 Au
```

Output
As for the space group: Cmcm (63). The value obtained for the raw total energy is -41.9 eV for the cell shown.

***

(5)
Material: TlAu5
Method: DFT, PBE
State: optimized geometry

```
TlAu5
1.0
10.295 -2.831 0.000
10.295 2.831 0.000
-4.383 0.000 8.552
Tl Au
4 20
direct
0.019 0.019 0.330 Tl
0.219 0.219 0.579 Tl
0.781 0.781 0.421 Tl
0.981 0.981 0.670 Tl
0.000 0.000 0.000 Au
0.124 0.631 0.295 Au
0.128 0.621 0.823 Au
0.177 0.177 0.988 Au
0.259 0.259 0.314 Au
0.317 0.317 0.004 Au
0.369 0.876 0.705 Au
0.379 0.872 0.177 Au
0.391 0.391 0.588 Au
0.478 0.478 0.123 Au
0.500 0.500 0.500 Au
0.522 0.522 0.877 Au
0.609 0.609 0.412 Au
0.621 0.128 0.823 Au
0.631 0.124 0.295 Au
0.683 0.683 0.996 Au
0.741 0.741 0.686 Au
0.823 0.823 0.012 Au
0.872 0.379 0.177 Au
0.876 0.369 0.705 Au
```

Output
As for the space group: C2/m (12). The value obtained for the raw total energy is -73.5 eV for the cell shown.

***

(6)
Material: Tl5Au7
Method: DFT, PBE
State: optimized geometry

```
Tl5Au7
1.0
8.841 0.000 0.000
0.000 17.050 0.000
0.000 0.000 7.351
Tl Au
20 28
direct
0.010 0.115 0.250 Tl
0.010 0.385 0.750 Tl
0.102 0.589 0.750 Tl
0.102 0.911 0.250 Tl
0.180 0.212 0.750 Tl
0.180 0.288 0.250 Tl
0.419 0.728 0.750 Tl
0.419 0.772 0.250 Tl
0.488 0.514 0.750 Tl
0.488 0.986 0.250 Tl
0.512 0.014 0.750 Tl
0.512 0.486 0.250 Tl
0.581 0.228 0.750 Tl
0.581 0.272 0.250 Tl
0.820 0.712 0.750 Tl
0.820 0.788 0.250 Tl
0.898 0.089 0.750 Tl
0.898 0.411 0.250 Tl
0.990 0.615 0.250 Tl
0.990 0.885 0.750 Tl
0.105 0.750 0.000 Au
0.105 0.750 0.500 Au
0.178 0.030 0.554 Au
0.178 0.030 0.946 Au
0.178 0.470 0.054 Au
0.178 0.470 0.446 Au
0.315 0.621 0.054 Au
0.315 0.621 0.446 Au
0.315 0.879 0.554 Au
0.315 0.879 0.946 Au
0.368 0.151 0.056 Au
0.368 0.151 0.444 Au
0.368 0.349 0.556 Au
0.368 0.349 0.944 Au
0.632 0.651 0.056 Au
0.632 0.651 0.444 Au
0.632 0.849 0.556 Au
0.632 0.849 0.944 Au
0.685 0.121 0.054 Au
0.685 0.121 0.446 Au
0.685 0.379 0.554 Au
0.685 0.379 0.946 Au
0.822 0.530 0.554 Au
0.822 0.530 0.946 Au
0.822 0.970 0.054 Au
0.822 0.970 0.446 Au
0.895 0.250 0.000 Au
0.895 0.250 0.500 Au
```

Output
As for the space group: Pbcm (57). The value obtained for the raw total energy is -137.8 eV for the cell shown.

***

(7)
Material: Tl2Au3
Method: DFT, PBE
State: optimized geometry

```
Tl2Au3
1.0
5.870 0.000 0.000
-2.935 5.084 0.000
0.000 0.000 14.850
Tl Au
8 12
direct
0.000 0.000 0.250 Tl
0.000 0.000 0.750 Tl
0.333 0.667 0.142 Tl
0.333 0.667 0.358 Tl
0.333 0.667 0.750 Tl
0.667 0.333 0.250 Tl
0.667 0.333 0.642 Tl
0.667 0.333 0.858 Tl
0.170 0.339 0.577 Au
0.170 0.339 0.923 Au
0.170 0.830 0.577 Au
0.170 0.830 0.923 Au
0.339 0.170 0.077 Au
0.339 0.170 0.423 Au
0.661 0.830 0.577 Au
0.661 0.830 0.923 Au
0.830 0.170 0.077 Au
0.830 0.170 0.423 Au
0.830 0.661 0.077 Au
0.830 0.661 0.423 Au
```

Output
As for the space group: P6_3/mmc (194). The value obtained for the raw total energy is -57.7 eV for the cell shown.

***

(8)
Material: Tl5Au
Method: DFT, PBE
State: optimized geometry

```
Tl5Au
1.0
7.925 0.000 0.000
0.000 7.925 0.000
0.000 0.000 5.565
Tl Au
10 2
direct
0.000 0.000 0.000 Tl
0.130 0.340 0.500 Tl
0.160 0.630 0.000 Tl
0.340 0.870 0.500 Tl
0.370 0.160 0.000 Tl
0.500 0.500 0.500 Tl
0.630 0.840 0.000 Tl
0.660 0.130 0.500 Tl
0.840 0.370 0.000 Tl
0.870 0.660 0.500 Tl
0.000 0.000 0.500 Au
0.500 0.500 0.000 Au
```

Output
As for the space group: I4/m (87). The value obtained for the raw total energy is -29.7 eV for the cell shown.

***

(9)
Material: TlAu17
Method: DFT, PBE
State: optimized geometry

```
TlAu17
1.0
5.037 0.000 0.000
0.000 5.793 0.000
-0.066 0.000 32.829
Tl Au
2 34
direct
0.172 0.250 0.170 Tl
0.828 0.750 0.830 Tl
0.000 0.000 0.500 Au
0.000 0.003 0.276 Au
0.000 0.497 0.276 Au
0.000 0.500 0.500 Au
0.000 0.503 0.724 Au
0.000 0.997 0.724 Au
0.164 0.750 0.425 Au
0.166 0.250 0.425 Au
0.170 0.250 0.649 Au
0.170 0.750 0.649 Au
0.171 0.750 0.202 Au
0.329 0.501 0.798 Au
0.329 0.999 0.798 Au
0.331 0.000 0.351 Au
0.331 0.500 0.351 Au
0.335 0.000 0.574 Au
0.335 0.500 0.574 Au
0.498 0.250 0.275 Au
0.498 0.750 0.277 Au
0.500 0.250 0.500 Au
0.500 0.750 0.500 Au
0.502 0.250 0.723 Au
0.502 0.750 0.725 Au
0.665 0.000 0.426 Au
0.665 0.500 0.426 Au
0.669 0.000 0.649 Au
0.669 0.500 0.649 Au
0.671 0.001 0.202 Au
0.671 0.499 0.202 Au
0.829 0.250 0.798 Au
0.830 0.250 0.351 Au
0.830 0.750 0.351 Au
0.834 0.750 0.575 Au
0.836 0.250 0.575 Au
```

Output
As for the space group: P2_1/m (11). The value obtained for the raw total energy is -114.5 eV for the cell shown.